No. 1
VASP calculation (PBE) on ZrGe2Os2 after structural relaxation.

Values from the calculation:
ΔE_f = -0.06 eV/atom
raw total energy = -8.1096 eV per atom

abc: 7.384 7.384 2.930
angles: 90.00 90.00 90.00
Space group P4/mbm (No. 127)
One atom of each set of equivalent atoms:
Zr1 0.000 0.000 0.000 [2 per cell]
Ge1 0.149 0.351 0.000 [4 per cell]
Os1 0.146 0.646 0.500 [4 per cell]

=====

No. 2
VASP calculation (PBE) on Zr4Ge6Os7 after structural relaxation.

Values from the calculation:
ΔE_f = -0.45 eV/atom
raw total energy = -8.7197 eV per atom

abc: 8.218 8.218 8.218
angles: 90.00 90.00 90.00
Space group Im-3m (No. 229)
One atom of each set of equivalent atoms:
Zr1 0.250 0.250 0.250 [8 per cell]
Ge1 0.000 0.000 0.307 [12 per cell]
Os1 0.000 0.000 0.000 [2 per cell]
Os2 0.000 0.250 0.500 [12 per cell]

=====

No. 3
VASP calculation (PBE) on ZrGeOs3 after structural relaxation.

Values from the calculation:
ΔE_f = 0.90 eV/atom
ΔE to the lowest computed polymorph = 0.0 meV per atom
raw total energy = -8.4689 eV per atom

abc: 4.507 4.507 4.507
angles: 90.00 90.00 90.00
Space group Pm-3m (No. 221)
One atom of each set of equivalent atoms:
Zr1 0.000 0.000 0.000 [1 per cell]
Ge1 0.500 0.500 0.500 [1 per cell]
Os1 0.000 0.500 0.500 [3 per cell]

=====

No. 4
VASP calculation (PBE) on Zr2GeOs2 after structural relaxation.

Values from the calculation:
ΔE_f = -0.23 eV/atom
raw total energy = -9.0632 eV per atom

abc: 6.425 6.425 4.480
angles: 90.00 90.00 90.00
Space group P4/mbm (No. 127)
One atom of each set of equivalent atoms:
Zr1 0.181 0.319 0.000 [4 per cell]
Ge1 0.000 0.000 0.500 [2 per cell]
Os1 0.137 0.637 0.500 [4 per cell]

=====

No. 5
VASP calculation (PBE) on ZrGeOs3 after structural relaxation.

Values from the calculation:
ΔE_f = 2.47 eV/atom
ΔE to the lowest computed polymorph = 1567.0 meV per atom
raw total energy = -6.9019 eV per atom

abc: 4.864 4.864 4.864
angles: 90.00 90.00 90.00
Space group Pm-3m (No. 221)
One atom of each set of equivalent atoms:
Zr1 0.000 0.000 0.000 [1 per cell]
Ge1 0.500 0.500 0.500 [1 per cell]
Os1 0.000 0.000 0.500 [3 per cell]

=====

No. 6
VASP calculation (PBE) on GeP3 after structural relaxation.

Values from the calculation:
ΔE_f = 0.09 eV/atom
ΔE to the lowest computed polymorph = 66.0 meV per atom
raw total energy = -5.1199 eV per atom

abc: 3.634 4.870 3.902
angles: 90.00 90.00 90.00
Space group Pmm2 (No. 25)
One atom of each set of equivalent atoms:
Ge1 0.000 0.000 0.000 [1 per cell]
P1 0.000 0.500 0.854 [1 per cell]
P2 0.500 0.000 0.407 [1 per cell]
P3 0.500 0.500 0.488 [1 per cell]

=====

No. 7
VASP calculation (PBE) on Ge3P2 after structural relaxation.

Values from the calculation:
ΔE_f = 0.32 eV/atom
raw total energy = -4.6100 eV per atom

abc: 6.6434 6.6434 16.2787
angles: 90.00 90.00 120.00
Space group R-3c (No. 167, hexagonal axes)
One atom of each set of equivalent atoms:
Ge1 0.0000 0.2786 0.2500 [18 per cell]
P1 0.0000 0.0000 0.1375 [12 per cell]

=====

No. 8
VASP calculation (PBE) on Ge4P after structural relaxation.

Values from the calculation:
ΔE_f = 0.63 eV/atom
raw total energy = -4.1505 eV per atom

abc: 4.788 4.788 4.788
angles: 90.00 90.00 90.00
Space group Pm-3m (No. 221)
One atom of each set of equivalent atoms:
Ge1 0.000 0.000 0.000 [1 per cell]
Ge2 0.000 0.500 0.500 [3 per cell]
P1 0.500 0.500 0.500 [1 per cell]

=====

No. 9
VASP calculation (PBE) on GeP3 after structural relaxation.

Values from the calculation:
ΔE_f = 0.03 eV/atom
ΔE to the lowest computed polymorph = 0.0 meV per atom
raw total energy = -5.1859 eV per atom

abc: 7.1239 7.1239 10.0501
angles: 90.00 90.00 120.00
Space group R-3m (No. 166, hexagonal axes)
One atom of each set of equivalent atoms:
Ge1 0.0000 0.0000 0.2367 [6 per cell]
P1 0.0179 0.5090 0.2202 [18 per cell]

=====

No. 10
VASP calculation (PBE) on PaGeP after structural relaxation.

Values from the calculation:
ΔE_f = -0.51 eV/atom
ΔE to the lowest computed polymorph = 360.2 meV per atom
raw total energy = -7.0226 eV per atom

abc: 4.4966 4.4966 25.1273
angles: 90.00 90.00 120.00
Space group R-3m (No. 166, hexagonal axes)
One atom of each set of equivalent atoms:
Pa1 0.0000 0.0000 0.2360 [6 per cell]
Ge1 0.0000 0.0000 0.3525 [6 per cell]
P1 0.0000 0.0000 0.1247 [6 per cell]

=====

No. 11
VASP calculation (PBE) on Pa2GeP after structural relaxation.

Values from the calculation:
ΔE_f = -0.62 eV/atom
ΔE to the lowest computed polymorph = 258.0 meV per atom
raw total energy = -7.8755 eV per atom

abc: 4.041 6.823 7.000
angles: 90.00 90.00 90.00
Space group Pmmn (No. 59, origin choice 2)
One atom of each set of equivalent atoms:
Pa1 0.250 0.002 0.236 [4 per cell]
Ge1 0.250 0.250 0.579 [2 per cell]
P1 0.250 0.750 0.912 [2 per cell]

=====

No. 12
VASP calculation (PBE) on Pa6GeP5 after structural relaxation.

Values from the calculation:
ΔE_f = -1.18 eV/atom
raw total energy = -8.5639 eV per atom

abc: 6.923 11.987 6.926
angles: 90.00 109.45 90.00
Space group C2/m (No. 12)
One atom of each set of equivalent atoms:
Pa1 0.244 0.000 0.253 [4 per cell]
Pa2 0.245 0.170 0.746 [8 per cell]
Ge1 0.000 0.500 0.000 [2 per cell]
P1 0.000 0.000 0.500 [2 per cell]
P2 0.000 0.167 0.000 [4 per cell]
P3 0.000 0.337 0.500 [4 per cell]

=====

No. 13
VASP calculation (PBE) on Pa4GeP3 after structural relaxation.

Values from the calculation:
ΔE_f = -1.09 eV/atom
raw total energy = -8.4483 eV per atom

abc: 5.673 5.673 5.673
angles: 90.00 90.00 90.00
Space group Pm-3m (No. 221)
One atom of each set of equivalent atoms:
Pa1 0.000 0.000 0.000 [1 per cell]
Pa2 0.000 0.500 0.500 [3 per cell]
Ge1 0.500 0.500 0.500 [1 per cell]
P1 0.000 0.000 0.500 [3 per cell]

=====

No. 14
VASP calculation (PBE) on PaGeP after structural relaxation.

Values from the calculation:
ΔE_f = -0.50 eV/atom
ΔE to the lowest computed polymorph = 371.9 meV per atom
raw total energy = -7.0108 eV per atom

abc: 4.2493 4.2493 3.7268
angles: 90.00 90.00 120.00
Space group P-6m2 (No. 187)
One atom of each set of equivalent atoms:
Pa1 0.0000 0.0000 0.0000 [1 per cell]
Ge1 0.6667 0.3333 0.5000 [1 per cell]
P1 0.3333 0.6667 0.5000 [1 per cell]

=====

No. 15
VASP calculation (PBE) on Pa6Ge5P after structural relaxation.

Values from the calculation:
ΔE_f = -0.58 eV/atom
raw total energy = -7.7028 eV per atom

abc: 7.112 12.324 7.116
angles: 90.00 109.49 90.00
Space group C2/m (No. 12)
One atom of each set of equivalent atoms:
Pa1 0.242 0.000 0.253 [4 per cell]
Pa2 0.244 0.163 0.744 [8 per cell]
Ge1 0.000 0.170 0.000 [4 per cell]
Ge2 0.000 0.334 0.500 [4 per cell]
Ge3 0.000 0.500 0.000 [2 per cell]
P1 0.000 0.000 0.500 [2 per cell]

=====

No. 16
VASP calculation (PBE) on Pa2GeP after structural relaxation.

Values from the calculation:
ΔE_f = -0.66 eV/atom
ΔE to the lowest computed polymorph = 218.9 meV per atom
raw total energy = -7.9146 eV per atom

abc: 3.366 3.366 7.335
angles: 90.00 90.00 90.00
Space group P4/mmm (No. 123)
One atom of each set of equivalent atoms:
Pa1 0.000 0.000 0.232 [2 per cell]
Ge1 0.500 0.500 0.500 [1 per cell]
P1 0.500 0.500 0.000 [1 per cell]

=====

No. 17
VASP calculation (PBE) on Pa2GeP after structural relaxation.

Values from the calculation:
ΔE_f = -0.88 eV/atom
ΔE to the lowest computed polymorph = 2.3 meV per atom
raw total energy = -8.1312 eV per atom

abc: 8.104 16.208 7.011
angles: 90.00 125.20 90.00
Space group C2/c (No. 15)
One atom of each set of equivalent atoms:
Pa1 0.234 0.063 0.241 [8 per cell]
Pa2 0.246 0.188 0.741 [8 per cell]
Ge1 0.000 0.315 0.750 [4 per cell]
Ge2 0.000 0.440 0.250 [4 per cell]
P1 0.000 0.065 0.750 [4 per cell]
P2 0.000 0.190 0.250 [4 per cell]

=====

No. 18
VASP calculation (PBE) on Pa2GeP after structural relaxation.

Values from the calculation:
ΔE_f = -0.88 eV/atom
ΔE to the lowest computed polymorph = 0.0 meV per atom
raw total energy = -8.1335 eV per atom

abc: 4.0442 4.0442 19.9255
angles: 90.00 90.00 120.00
Space group R-3m (No. 166, hexagonal axes)
One atom of each set of equivalent atoms:
Pa1 0.0000 0.0000 0.2459 [6 per cell]
Ge1 0.0000 0.0000 0.0000 [3 per cell]
P1 0.0000 0.0000 0.5000 [3 per cell]

=====

No. 19
VASP calculation (PBE) on PaGeP after structural relaxation.

Values from the calculation:
ΔE_f = -0.88 eV/atom
ΔE to the lowest computed polymorph = 0.0 meV per atom
raw total energy = -7.3827 eV per atom

abc: 3.926 3.926 15.948
angles: 90.00 90.00 90.00
Space group I4/mmm (No. 139)
One atom of each set of equivalent atoms:
Pa1 0.000 0.000 0.147 [4 per cell]
Ge1 0.000 0.500 0.000 [4 per cell]
P1 0.000 0.000 0.322 [4 per cell]

=====

No. 20
VASP calculation (PBE) on Pa3Ge2P after structural relaxation.

Values from the calculation:
ΔE_f = -0.72 eV/atom
raw total energy = -7.9073 eV per atom

abc: 4.081 4.081 17.310
angles: 90.00 90.00 90.00
Space group I4/mmm (No. 139)
One atom of each set of equivalent atoms:
Pa1 0.000 0.000 0.000 [2 per cell]
Pa2 0.000 0.000 0.338 [4 per cell]
Ge1 0.000 0.000 0.169 [4 per cell]
P1 0.000 0.000 0.500 [2 per cell]